1.
Material: Zr2CdNiC
Method: DFT, PBE
State: relaxed

Lattice parameters (Å, degrees): 4.6097 4.6097 3.8754 90.00 90.00 90.00
Closest atoms and distances in Å follow each position.
Element x y z (fractional)
Zr1 0.0000 0.5000 0.0000  2 C 2.30
Zr2 0.5000 0.0000 0.0000  2 C 2.30
Cd1 0.0000 0.0000 0.5000  8 Zr 3.01, 4 Ni 3.26
Ni1 0.5000 0.5000 0.5000  2 C 1.94
C1 0.5000 0.5000 0.0000  2 Ni 1.94

- crystal system = tetragonal
- M_tot (Bohr magnetons per cell) = 0.00
- final energy (eV/cell) = -34.38
- formation energy (eV/atom) = -0.2730



2.
Material: CuPt
Method: DFT, PBE
State: relaxed

Lattice parameters (Å, degrees): 6.0686 6.0686 4.6560 97.35 97.35 84.60
Closest atoms and distances in Å follow each position.
Element x y z (fractional)
Cu1 0.0000 0.0000 0.0000  5 Cu 2.64-2.73, 7 Pt 2.68-2.76
Cu2 0.0818 0.4054 0.2491  6 Pt 2.63-2.76, 6 Cu 2.64-2.74
Cu3 0.2451 0.2451 0.7581  7 Cu 2.64-2.71, 5 Pt 2.65-2.71
Cu4 0.3265 0.6581 0.9996  7 Pt 2.65-2.73, 5 Cu 2.68-2.74
Cu5 0.4054 0.0818 0.2491  6 Pt 2.63-2.76, 6 Cu 2.64-2.74
Cu6 0.6581 0.3265 0.9996  7 Pt 2.65-2.73, 5 Cu 2.68-2.74
Pt1 0.1645 0.8316 0.4946  7 Cu 2.65-2.76, 5 Pt 2.68-2.76
Pt2 0.4852 0.4852 0.4974  7 Cu 2.63-2.69, 5 Pt 2.73-2.83
Pt3 0.5715 0.9196 0.7597  6 Cu 2.65-2.76, 6 Pt 2.68-2.84
Pt4 0.7437 0.7437 0.2491  7 Pt 2.69-2.77, 5 Cu 2.71-2.76
Pt5 0.8316 0.1645 0.4946  7 Cu 2.65-2.76, 5 Pt 2.68-2.76
Pt6 0.9196 0.5715 0.7597  6 Cu 2.65-2.76, 6 Pt 2.68-2.84

- crystal system = monoclinic
- M_tot (Bohr magnetons per cell) = 0.00
- final energy (eV/cell) = -62.19
- formation energy (eV/atom) = -0.1138



3.
Material: TlCuPbI2
Method: DFT, PBE
State: relaxed

Lattice parameters (Å, degrees): 6.2119 6.2119 6.0142 90.00 90.00 90.00
Closest atoms and distances in Å follow each position.
Element x y z (fractional)
Tl1 0.0000 0.0000 0.0000  2 Pb 3.01, 4 I 3.11
Cu1 0.5000 0.5000 0.5000  8 I 4.32, 4 Pb 4.39
Pb1 0.0000 0.0000 0.5000  2 Tl 3.01
I1 0.0000 0.5000 0.0000  2 Tl 3.11
I2 0.5000 0.0000 0.0000  2 Tl 3.11

- crystal system = tetragonal
- M_tot (Bohr magnetons per cell) = 0.56
- final energy (eV/cell) = -10.06
- formation energy without anion corrections (meV/atom) = 643.2



4.
Material: Ga12Cu3Bi5
Method: DFT, PBE
State: relaxed

Lattice parameters (Å, degrees): 13.7571 13.7571 13.7571 109.47 109.47 109.47
Closest atoms and distances in Å follow each position.
Element x y z (fractional)
Ga1 0.0524 0.6356 0.3806  1 Cu 2.42, 1 Ga 2.68
Ga2 0.0524 0.9168 0.6718  1 Cu 2.42, 1 Ga 2.68
Ga3 0.0832 0.2550 0.1356  1 Cu 2.42, 1 Ga 2.68
Ga4 0.0832 0.3282 0.9476  1 Cu 2.42, 1 Ga 2.68
Ga5 0.1194 0.7550 0.6718  1 Cu 2.42, 1 Ga 2.68
Ga6 0.1194 0.8644 0.4476  1 Cu 2.42, 1 Ga 2.68
Ga7 0.1356 0.0832 0.2550  1 Cu 2.42, 1 Ga 2.68
Ga8 0.1356 0.5524 0.8806  1 Cu 2.42, 1 Ga 2.68
Ga9 0.1718 0.2550 0.6194  1 Cu 2.42, 1 Ga 2.68
Ga10 0.1718 0.4168 0.5524  1 Cu 2.42, 1 Ga 2.68
Ga11 0.2450 0.3282 0.8806  1 Cu 2.42, 1 Ga 2.68
Ga12 0.2450 0.4168 0.3644  1 Cu 2.42, 1 Ga 2.68
Ga13 0.2550 0.1356 0.0832  1 Cu 2.42, 1 Ga 2.68
Ga14 0.2550 0.6194 0.1718  1 Cu 2.42, 1 Ga 2.68
Ga15 0.3282 0.8806 0.2450  1 Cu 2.42, 1 Ga 2.68
Ga16 0.3282 0.9476 0.0832  1 Cu 2.42, 1 Ga 2.68
Ga17 0.3644 0.2450 0.4168  1 Cu 2.42, 1 Ga 2.68
Ga18 0.3644 0.6194 0.9476  1 Cu 2.42, 1 Ga 2.68
Ga19 0.3806 0.0524 0.6356  1 Cu 2.42, 1 Ga 2.68
Ga20 0.3806 0.8282 0.7450  1 Cu 2.42, 1 Ga 2.68
Ga21 0.4168 0.3644 0.2450  1 Cu 2.42, 1 Ga 2.68
Ga22 0.4168 0.5524 0.1718  1 Cu 2.42, 1 Ga 2.68
Ga23 0.4476 0.1194 0.8644  1 Cu 2.42, 1 Ga 2.68
Ga24 0.4476 0.8282 0.5832  1 Cu 2.42, 1 Ga 2.68
Ga25 0.5524 0.1718 0.4168  1 Cu 2.42, 1 Ga 2.68
Ga26 0.5524 0.8806 0.1356  1 Cu 2.42, 1 Ga 2.68
Ga27 0.5832 0.4476 0.8282  1 Cu 2.42, 1 Ga 2.68
Ga28 0.5832 0.6356 0.7550  1 Cu 2.42, 1 Ga 2.68
Ga29 0.6194 0.1718 0.2550  1 Cu 2.42, 1 Ga 2.68
Ga30 0.6194 0.9476 0.3644  1 Cu 2.42, 1 Ga 2.68
Ga31 0.6356 0.3806 0.0524  1 Cu 2.42, 1 Ga 2.68
Ga32 0.6356 0.7550 0.5832  1 Cu 2.42, 1 Ga 2.68
Ga33 0.6718 0.0524 0.9168  1 Cu 2.42, 1 Ga 2.68
Ga34 0.6718 0.1194 0.7550  1 Cu 2.42, 1 Ga 2.68
Ga35 0.7450 0.3806 0.8282  1 Cu 2.42, 1 Ga 2.68
Ga36 0.7450 0.8644 0.9168  1 Cu 2.42, 1 Ga 2.68
Ga37 0.7550 0.5832 0.6356  1 Cu 2.42, 1 Ga 2.68
Ga38 0.7550 0.6718 0.1194  1 Cu 2.42, 1 Ga 2.68
Ga39 0.8282 0.5832 0.4476  1 Cu 2.42, 1 Ga 2.68
Ga40 0.8282 0.7450 0.3806  1 Cu 2.42, 1 Ga 2.68
Ga41 0.8644 0.4476 0.1194  1 Cu 2.42, 1 Ga 2.68
Ga42 0.8644 0.9168 0.7450  1 Cu 2.42, 1 Ga 2.68
Ga43 0.8806 0.1356 0.5524  1 Cu 2.42, 1 Ga 2.68
Ga44 0.8806 0.2450 0.3282  1 Cu 2.42, 1 Ga 2.68
Ga45 0.9168 0.6718 0.0524  1 Cu 2.42, 1 Ga 2.68
Ga46 0.9168 0.7450 0.8644  1 Cu 2.42, 1 Ga 2.68
Ga47 0.9476 0.0832 0.3282  1 Cu 2.42, 1 Ga 2.68
Ga48 0.9476 0.3644 0.6194  1 Cu 2.42, 1 Ga 2.68
Cu1 0.1250 0.2500 0.3750  4 Ga 2.42
Cu2 0.1250 0.3750 0.7500  4 Ga 2.42
Cu3 0.2500 0.3750 0.1250  4 Ga 2.42
Cu4 0.2500 0.8750 0.6250  4 Ga 2.42
Cu5 0.3750 0.1250 0.2500  4 Ga 2.42
Cu6 0.3750 0.7500 0.1250  4 Ga 2.42
Cu7 0.6250 0.2500 0.8750  4 Ga 2.42
Cu8 0.6250 0.8750 0.7500  4 Ga 2.42
Cu9 0.7500 0.1250 0.3750  4 Ga 2.42
Cu10 0.7500 0.6250 0.8750  4 Ga 2.42
Cu11 0.8750 0.6250 0.2500  4 Ga 2.42
Cu12 0.8750 0.7500 0.6250  4 Ga 2.42
Bi1 0.0000 0.0000 0.0000  6 Ga 2.94
Bi2 0.0000 0.0000 0.5000  6 Ga 2.94
Bi3 0.0000 0.5000 0.0000  6 Ga 2.94
Bi4 0.0000 0.5000 0.5000  6 Ga 2.94
Bi5 0.1250 0.7500 0.8750  4 Ga 2.79
Bi6 0.1250 0.8750 0.2500  4 Ga 2.79
Bi7 0.2500 0.1250 0.8750  4 Ga 2.79
Bi8 0.2500 0.6250 0.3750  4 Ga 2.79
Bi9 0.3750 0.2500 0.6250  4 Ga 2.79
Bi10 0.3750 0.6250 0.7500  4 Ga 2.79
Bi11 0.5000 0.0000 0.0000  6 Ga 2.94
Bi12 0.5000 0.0000 0.5000  6 Ga 2.94
Bi13 0.5000 0.5000 0.0000  6 Ga 2.94
Bi14 0.5000 0.5000 0.5000  6 Ga 2.94
Bi15 0.6250 0.3750 0.2500  4 Ga 2.79
Bi16 0.6250 0.7500 0.3750  4 Ga 2.79
Bi17 0.7500 0.3750 0.6250  4 Ga 2.79
Bi18 0.7500 0.8750 0.1250  4 Ga 2.79
Bi19 0.8750 0.1250 0.7500  4 Ga 2.79
Bi20 0.8750 0.2500 0.1250  4 Ga 2.79

- crystal system = cubic
- M_tot (Bohr magnetons per cell) = 0.00
- final energy (eV/cell) = -261.59
- formation energy (eV/atom) = 0.1310



5.
Material: TbDyY4
Method: DFT, PBE
State: relaxed

Lattice parameters (Å, degrees): 5.4403 5.4403 7.7079 90.00 90.00 90.00
Closest atoms and distances in Å follow each position.
Element x y z (fractional)
Tb1 0.0000 0.0000 0.0000  8 Y 3.34
Dy1 0.5000 0.5000 0.5000  8 Y 3.33
Y1 0.0000 0.5000 0.2505  2 Dy 3.33, 2 Tb 3.34
Y2 0.0000 0.5000 0.7495  2 Dy 3.33, 2 Tb 3.34
Y3 0.5000 0.0000 0.2505  2 Dy 3.33, 2 Tb 3.34
Y4 0.5000 0.0000 0.7495  2 Dy 3.33, 2 Tb 3.34

- crystal system = tetragonal
- excess energy over the best structure of this formula in the dataset (eV/f.u.) = 4.389
- M_tot (Bohr magnetons per cell) = 0.00
- final energy (eV/cell) = -30.67
- formation energy (eV/atom) = 0.7368



6.
Material: AcMg4Cd
Method: DFT, PBE
State: relaxed

Lattice parameters (Å, degrees): 6.1396 6.1396 6.1396 60.00 60.00 60.00
Closest atoms and distances in Å follow each position.
Element x y z (fractional)
Ac1 0.0000 0.0000 0.0000  12 Mg 3.60, 4 Cd 3.76
Mg1 0.3750 0.3750 0.3750  6 Mg 3.07
Mg2 0.3750 0.3750 0.8750  6 Mg 3.07
Mg3 0.3750 0.8750 0.3750  6 Mg 3.07
Mg4 0.8750 0.3750 0.3750  6 Mg 3.07
Cd1 0.7500 0.7500 0.7500  12 Mg 3.60, 4 Ac 3.76

- crystal system = cubic
- excess energy over the best structure of this formula in the dataset (eV/f.u.) = 0.647
- M_tot (Bohr magnetons per cell) = 0.00
- final energy (eV/cell) = -11.44
- formation energy (eV/atom) = -0.0058